{"formula": "SrInRe", "functional": "PBE", "state": "relaxed", "lattice_angstrom": [[0.0000, 3.4801, 3.4801], [3.4801, 0.0000, 3.4801], [3.4801, 3.4801, 0.0000]], "species": ["Sr", "In", "Re"], "fractional_positions": [[0.0000, 0.0000, 0.0000], [0.5000, 0.5000, 0.5000], [0.2500, 0.2500, 0.2500]], "spacegroup": "F-43m", "crystal_system": "cubic", "polymorph_energy_mev_per_atom": 407}